## SrGe2WO8 (GGA+U)

Data for an optimized crystal structure of SrGe2WO8.

Calculated values
The value obtained for the calculated volume is 152.57 Å³/cell. The final energy is -6.568 eV per atom. The density of states at the Fermi level comes out at 0.00 states/eV/atom. Its space group is I-4m2 (119).

```
12
Lattice="5.8505 0.0087 0.0000 -2.5870 5.2475 0.0000 -1.6318 -2.6281 4.9658" Properties=species:S:1:pos:R:3 pbc="T T T"
Sr 0.0000 0.0000 0.0000
O 0.3254 -1.4335 3.9332
O 3.0609 2.9723 1.0326
O 0.2026 2.2840 1.0326
O 2.9291 -1.5602 3.3114
O 4.3292 0.6948 1.6544
O 2.9214 1.5689 3.3114
O -0.3254 1.4335 3.9332
O 1.5213 -0.6861 1.6544
W -1.2935 2.6237 2.4829
Ge 2.9253 0.0044 2.4829
Ge 1.6318 2.6281 0.0000
```